# 1
# GGA-PBE Li2NbPSe, relaxed
data_Li2NbPSe
_chemical_formula_sum 'Li2 Nb1 P1 Se1'
_space_group_name_H-M_alt 'P 1'
_space_group_IT_number 1
_space_group_name_Hall 'P 1'
_cell_length_a 4.219
_cell_length_b 5.934
_cell_length_c 4.219
_cell_angle_alpha 90.00
_cell_angle_beta 90.00
_cell_angle_gamma 90.00
loop_
_atom_site_label
_atom_site_type_symbol
_atom_site_fract_x
_atom_site_fract_y
_atom_site_fract_z
P1 P 0.000 0.500 0.000
Li1 Li 0.000 0.000 0.500
Se1 Se 0.000 0.000 0.000
Nb1 Nb 0.500 0.500 0.500
Li2 Li 0.500 0.000 0.000
# E   -4.218 eV per atom
# Spin magnetization   0.59 μB/atom
# Space group   P4/mmm (123)
# Mass density   3.41 g cm⁻³

# 2
# GGA-PBE Cd2HgBr, relaxed
data_Cd2HgBr
_chemical_formula_sum 'Cd2 Hg1 Br1'
_space_group_name_H-M_alt 'P 1'
_space_group_IT_number 1
_space_group_name_Hall 'P 1'
_cell_length_a 3.557
_cell_length_b 3.557
_cell_length_c 8.107
_cell_angle_alpha 90.00
_cell_angle_beta 90.00
_cell_angle_gamma 90.00
loop_
_atom_site_label
_atom_site_type_symbol
_atom_site_fract_x
_atom_site_fract_y
_atom_site_fract_z
Br1 Br 0.500 0.500 0.750
Cd1 Cd 0.000 0.000 0.490
Cd2 Cd 0.000 0.000 0.010
Hg1 Hg 0.500 0.500 0.250
# Spin magnetization   0.00 μB/atom
# Space group   P4/mmm (123)
# Mass density   8.18 g cm⁻³
# Excess energy over the best structure of this formula in the dataset   90.0 meV/atom

# 3
# GGA-PBE CsKCd3, relaxed
data_CsKCd3
_chemical_formula_sum 'Cs1 K1 Cd3'
_space_group_name_H-M_alt 'P 1'
_space_group_IT_number 1
_space_group_name_Hall 'P 1'
_cell_length_a 6.858
_cell_length_b 6.858
_cell_length_c 6.858
_cell_angle_alpha 90.00
_cell_angle_beta 90.00
_cell_angle_gamma 90.00
loop_
_atom_site_label
_atom_site_type_symbol
_atom_site_fract_x
_atom_site_fract_y
_atom_site_fract_z
Cd1 Cd 0.000 0.500 0.000
Cs1 Cs 0.000 0.000 0.000
Cd2 Cd 0.000 0.000 0.500
Cd3 Cd 0.500 0.000 0.000
K1 K 0.500 0.500 0.500
# Spin magnetization   0.00 μB/atom
# Energy of formation   1.8 eV per formula unit
# Space group   Pm-3m (221)
# Mass density   2.62 g cm⁻³
# Excess energy over the best structure of this formula in the dataset   430.6 meV/atom

# 4
# GGA-PBE Y3Er3Sc, relaxed
data_Y3Er3Sc
_chemical_formula_sum 'Y3 Er3 Sc1'
_space_group_name_H-M_alt 'P 1'
_space_group_IT_number 1
_space_group_name_Hall 'P 1'
_cell_length_a 6.218
_cell_length_b 6.218
_cell_length_c 6.218
_cell_angle_alpha 102.29
_cell_angle_beta 102.29
_cell_angle_gamma 102.29
loop_
_atom_site_label
_atom_site_type_symbol
_atom_site_fract_x
_atom_site_fract_y
_atom_site_fract_z
Y1 Y 0.961 0.961 0.564
Er1 Er 0.515 0.515 0.169
Er2 Er 0.169 0.515 0.515
Y2 Y 0.564 0.961 0.961
Sc1 Sc 0.114 0.114 0.114
Y3 Y 0.961 0.564 0.961
Er3 Er 0.515 0.169 0.515
# Spin magnetization   0.00 μB/atom
# Energy of formation   1.7 eV per formula unit
# Space group   R3m (160)
# Mass density   6.11 g cm⁻³
# Excess energy over the best structure of this formula in the dataset   91.5 meV/atom

# 5
# GGA-PBE BaEuGaGe, relaxed
data_BaEuGaGe
_chemical_formula_sum 'Ba1 Eu1 Ga1 Ge1'
_space_group_name_H-M_alt 'P 1'
_space_group_IT_number 1
_space_group_name_Hall 'P 1'
_cell_length_a 5.549
_cell_length_b 5.549
_cell_length_c 5.549
_cell_angle_alpha 60.00
_cell_angle_beta 60.00
_cell_angle_gamma 60.00
loop_
_atom_site_label
_atom_site_type_symbol
_atom_site_fract_x
_atom_site_fract_y
_atom_site_fract_z
Eu1 Eu 0.500 0.500 0.500
Ga1 Ga 0.750 0.750 0.750
Ba1 Ba 0.000 0.000 0.000
Ge1 Ge 0.250 0.250 0.250
# Spin magnetization   1.82 μB/atom
# Energy of formation   -1.5 eV per formula unit
# Space group   F-43m (216)
# Mass density   5.93 g cm⁻³

# 6
# GGA-PBE Sc2ReP, relaxed
data_Sc2ReP
_chemical_formula_sum 'Sc2 Re1 P1'
_space_group_name_H-M_alt 'P 1'
_space_group_IT_number 1
_space_group_name_Hall 'P 1'
_cell_length_a 4.607
_cell_length_b 4.607
_cell_length_c 4.755
_cell_angle_alpha 72.91
_cell_angle_beta 72.91
_cell_angle_gamma 45.15
loop_
_atom_site_label
_atom_site_type_symbol
_atom_site_fract_x
_atom_site_fract_y
_atom_site_fract_z
Sc1 Sc 0.764 0.764 0.231
Re1 Re 0.000 0.000 0.500
Sc2 Sc 0.236 0.236 0.769
P1 P 0.500 0.500 0.000
# Spin magnetization   0.00 μB/atom
# Energy of formation   -1.1 eV per formula unit
# Space group   C2/m (12)
# Mass density   7.52 g cm⁻³